Tl2HgMo after structural relaxation, computed with PBE.

Its relative energy among the computed polymorphs is 267 meV/atom. For the energy, the calculation gives -50.39 eV/cell. The formation enthalpy at 0 K comes out at 0.817 eV/atom.

The space group is F-43m (No. 216) and the conventional cell measures 7.349, 7.349 and 7.349 Å, with angles of 90.00, 90.00 and 90.00 degrees. Symmetry generates all atoms from Tl at (0.000, 0.000, 0.000), Tl at (0.250, 0.250, 0.250), Hg at (0.250, 0.250, 0.750) and Mo at (0.000, 0.000, 0.500).

Zr2CdMo after structural relaxation, computed with PBE.

For the energy, the calculation gives -28.38 eV/cell. The formation enthalpy at 0 K comes out at 0.116 eV/atom.

The space group is Pm (No. 6) and the conventional cell measures 3.007, 5.007 and 5.458 Å, with angles of 90.00, 97.29 and 90.00 degrees. Symmetry generates all atoms from Zr at (0.000, 0.000, 0.000), Zr at (0.180, 0.500, 0.650), Cd at (0.584, 0.500, 0.176) and Mo at (0.593, 0.000, 0.521).

Ca4SmTl15 after structural relaxation, computed with PBE.

For the energy, the calculation gives -53.21 eV/cell. The formation enthalpy at 0 K comes out at -0.249 eV/atom.

The space group is P4/mmm (No. 123) and the conventional cell measures 4.844, 4.844 and 24.339 Å, with angles of 90.00, 90.00 and 90.00 degrees. Symmetry generates all atoms from Ca at (0.000, 0.000, 0.101), Ca at (0.000, 0.000, 0.303), Sm at (0.000, 0.000, 0.500), Tl at (0.000, 0.500, 0.000), Tl at (0.000, 0.500, 0.201), Tl at (0.000, 0.500, 0.401), Tl at (0.500, 0.500, 0.101), Tl at (0.500, 0.500, 0.301) and Tl at (0.500, 0.500, 0.500).

Sc2SbSe after structural relaxation, computed with PBE.

Its relative energy among the computed polymorphs is 996 meV/atom. For the energy, the calculation gives -85.36 eV/cell. For the energy relative to the elements, uncorrected, the calculation gives -6.17 kcal/mol of atoms.

The space group is F-43m (No. 216) and the conventional cell measures 7.092, 7.092 and 7.092 Å, with angles of 90.00, 90.00 and 90.00 degrees. Symmetry generates all atoms from Sc at (0.000, 0.000, 0.000), Sc at (0.250, 0.250, 0.250), Sb at (0.250, 0.250, 0.750) and Se at (0.000, 0.000, 0.500).

KTl2ZnPb after structural relaxation, computed with PBE.

For the energy, the calculation gives -10.34 eV/cell. The formation enthalpy at 0 K comes out at 0.094 eV/atom.

The space group is P4/mmm (No. 123) and the conventional cell measures 5.506, 5.506 and 5.643 Å, with angles of 90.00, 90.00 and 90.00 degrees. Symmetry generates all atoms from K at (0.000, 0.000, 0.000), Tl at (0.000, 0.500, 0.500), Zn at (0.500, 0.500, 0.500) and Pb at (0.500, 0.500, 0.000).

MgTc2Sn2 after structural relaxation, computed with PBE.

Its relative energy among the computed polymorphs is 270 meV/atom. For the energy, the calculation gives -57.03 eV/cell. The formation enthalpy at 0 K comes out at 0.364 eV/atom.

The space group is I4/mmm (No. 139) and the conventional cell measures 4.587, 4.587 and 10.385 Å, with angles of 90.00, 90.00 and 90.00 degrees. Symmetry generates all atoms from Mg at (0.000, 0.000, 0.000), Tc at (0.000, 0.000, 0.392) and Sn at (0.000, 0.500, 0.250).

TaCo2Br after structural relaxation, computed with PBE.

Its relative energy among the computed polymorphs is 604 meV/atom. For the energy, the calculation gives -49.49 eV/cell. For the energy relative to the elements, uncorrected, the calculation gives 17.26 kcal/mol of atoms.

The space group is I4/mmm (No. 139) and the conventional cell measures 4.020, 4.020 and 7.197 Å, with angles of 90.00, 90.00 and 90.00 degrees. Symmetry generates all atoms from Ta at (0.000, 0.000, 0.000), Co at (0.000, 0.500, 0.250) and Br at (0.000, 0.000, 0.500).

CuSi after structural relaxation, computed with PBE.

For the energy, the calculation gives -55.06 eV/cell. For the energy relative to the elements, uncorrected, the calculation gives 3.95 kcal/mol of atoms.

The space group is R-3m (No. 166, hexagonal axes) and the conventional cell measures 3.9126, 3.9126 and 13.0093 Å, with angles of 90.00, 90.00 and 120.00 degrees. Symmetry generates all atoms from Cu at (0.0000, 0.0000, 0.2076) and Si at (0.0000, 0.0000, 0.3948).